# 1
## LaThSbSe (PBE-GGA)

Data for crystalline LaThSbSe at its relaxed geometry.

a b c (Å): 4.4144 4.4144 6.2525
angles (deg): 90.00 90.00 90.00
Fractional positions:
1 La 0.0000 0.0000 0.0000
2 Th 0.5000 0.5000 0.5000
3 Sb 0.5000 0.5000 0.0000
4 Se 0.0000 0.0000 0.5000

Output
The uncorrected formation energy comes out at -1359 meV/atom. The calculation puts the total energy at -25.392 eV for the cell shown. The symmetry is No. 123.

---

# 2
## AcTiSe2O (PBE-GGA)

Data for crystalline AcTiSe2O at its relaxed geometry.

a b c (Å): 4.0323 4.0323 13.8541
angles (deg): 90.00 90.00 90.00
Fractional positions:
1 Ac 0.2500 0.2500 0.0990
2 Ac 0.7500 0.7500 0.9010
3 Ti 0.2500 0.2500 0.5977
4 Ti 0.7500 0.7500 0.4023
5 Se 0.2500 0.2500 0.4090
6 Se 0.2500 0.2500 0.7730
7 Se 0.7500 0.7500 0.2270
8 Se 0.7500 0.7500 0.5910
9 O 0.2500 0.7500 0.0000
10 O 0.7500 0.2500 0.0000

Output
The uncorrected formation energy comes out at -1952 meV/atom. The calculation puts the total energy at -67.381 eV for the cell shown. The symmetry is No. 129.

---

# 3
## UAgS (PBE-GGA)

Data for crystalline UAgS at its relaxed geometry.

a b c (Å): 3.6739 5.4392 7.1558
angles (deg): 75.60 89.88 70.34
Fractional positions:
1 U 0.1661 0.1689 0.4385
2 U 0.8339 0.8311 0.5615
3 Ag 0.4082 0.6859 0.2297
4 Ag 0.5918 0.3141 0.7703
5 S 0.3360 0.8246 0.8370
6 S 0.6640 0.1754 0.1630

Output
The uncorrected formation energy comes out at -235 meV/atom. The calculation puts the total energy at -37.944 eV for the cell shown. The symmetry is No. 2.

---

# 4
## Tb4NiAu (PBE-GGA)

Data for crystalline Tb4NiAu at its relaxed geometry.

a b c (Å): 6.8934 7.0261 6.9001
angles (deg): 90.00 94.62 90.00
Fractional positions:
1 Tb 0.1564 0.1657 0.1860
2 Tb 0.1564 0.3343 0.6860
3 Tb 0.3242 0.6552 0.1294
4 Tb 0.3242 0.8448 0.6294
5 Tb 0.6758 0.1552 0.3706
6 Tb 0.6758 0.3448 0.8706
7 Tb 0.8436 0.6657 0.3140
8 Tb 0.8436 0.8343 0.8140
9 Ni 0.0000 0.0000 0.5000
10 Ni 0.0000 0.5000 0.0000
11 Au 0.5000 0.0000 0.0000
12 Au 0.5000 0.5000 0.5000

Output
The calculation puts the energy of formation at -31.38 kJ/mol of atoms. The calculation puts the total energy at -59.062 eV for the cell shown. The symmetry is No. 14.

---

# 5
## Pm6Si2AsSe3 (PBE-GGA)

Data for crystalline Pm6Si2AsSe3 at its relaxed geometry.

a b c (Å): 9.4761 9.4761 8.4953
angles (deg): 103.17 103.17 25.76
Fractional positions:
1 Pm 0.0041 0.0041 0.2462
2 Pm 0.3308 0.3308 0.4229
3 Pm 0.3347 0.3347 0.9073
4 Pm 0.6653 0.6653 0.0927
5 Pm 0.6692 0.6692 0.5771
6 Pm 0.9959 0.9959 0.7538
7 Si 0.1665 0.1665 0.3332
8 Si 0.8335 0.8335 0.6668
9 As 0.5000 0.5000 0.0000
10 Se 0.1656 0.1656 0.8342
11 Se 0.5000 0.5000 0.5000
12 Se 0.8344 0.8344 0.1658

Output
The uncorrected formation energy comes out at -1471 meV/atom. The calculation puts the total energy at -72.101 eV for the cell shown. The symmetry is No. 12.

---

# 6
## Ho2TmTh2 (PBE-GGA)

Data for crystalline Ho2TmTh2 at its relaxed geometry.

a b c (Å): 7.1238 7.1238 6.4075
angles (deg): 90.80 90.80 90.63
Fractional positions:
1 Ho 0.0397 0.9603 0.5000
2 Ho 0.6196 0.8125 0.6848
3 Ho 0.8125 0.6196 0.1848
4 Ho 0.9603 0.0397 0.0000
5 Tm 0.1869 0.3764 0.3143
6 Tm 0.3764 0.1869 0.8143
7 Th 0.1856 0.6133 0.8049
8 Th 0.3816 0.8102 0.1920
9 Th 0.6133 0.1856 0.3049
10 Th 0.8102 0.3816 0.6920

Output
The calculation puts the energy of formation at 26.73 kJ/mol of atoms. The value obtained for the energy above the most stable polymorph in this dataset is 0 meV/atom. The calculation puts the total energy at -54.164 eV for the cell shown. The symmetry is No. 9.

---

# 7
## PuBAs2 (PBE-GGA)

Data for crystalline PuBAs2 at its relaxed geometry.

a b c (Å): 3.1896 3.1896 25.5535
angles (deg): 90.00 90.00 120.00
Fractional positions:
1 Pu 0.0000 0.0000 0.0000
2 Pu 0.3333 0.6667 0.6667
3 Pu 0.6667 0.3333 0.3333
4 B 0.0000 0.0000 0.5000
5 B 0.3333 0.6667 0.1667
6 B 0.6667 0.3333 0.8333
7 As 0.0000 0.0000 0.1160
8 As 0.0000 0.0000 0.8840
9 As 0.3333 0.6667 0.5507
10 As 0.3333 0.6667 0.7826
11 As 0.6667 0.3333 0.2174
12 As 0.6667 0.3333 0.4493

Output
The calculation puts the energy of formation at 41.12 kJ/mol of atoms. The calculation puts the total energy at -85.811 eV for the cell shown. The symmetry is No. 166.

---

# 8
## MnAg2Os (PBE-GGA)

Data for crystalline MnAg2Os at its relaxed geometry.

a b c (Å): 4.0787 4.0787 7.5479
angles (deg): 90.00 90.00 90.00
Fractional positions:
1 Mn 0.0000 0.0000 0.0000
2 Mn 0.5000 0.5000 0.5000
3 Ag 0.0000 0.0000 0.5000
4 Ag 0.0000 0.5000 0.2500
5 Ag 0.5000 0.0000 0.7500
6 Ag 0.5000 0.5000 0.0000
7 Os 0.0000 0.5000 0.7500
8 Os 0.5000 0.0000 0.2500

Output
The calculation puts the energy of formation at 60.09 kJ/mol of atoms. The value obtained for the energy above the most stable polymorph in this dataset is 294 meV/atom. The calculation puts the total energy at -47.221 eV for the cell shown. The symmetry is No. 119.

---

# 9
## RbPaSiN4 (PBE-GGA)

Data for crystalline RbPaSiN4 at its relaxed geometry.

a b c (Å): 6.0017 4.1370 8.9436
angles (deg): 90.00 101.05 90.00
Fractional positions:
1 Rb 0.2451 0.2500 0.4921
2 Rb 0.7549 0.7500 0.5079
3 Pa 0.2213 0.2500 0.9220
4 Pa 0.7787 0.7500 0.0780
5 Si 0.2749 0.7500 0.1839
6 Si 0.7251 0.2500 0.8161
7 N 0.0592 0.7500 0.2825
8 N 0.1339 0.7500 0.9905
9 N 0.4753 0.0735 0.1813
10 N 0.4753 0.4265 0.1813
11 N 0.5247 0.5735 0.8187
12 N 0.5247 0.9265 0.8187
13 N 0.8661 0.2500 0.0095
14 N 0.9408 0.2500 0.7175

Output
The uncorrected formation energy comes out at -746 meV/atom. The calculation puts the total energy at -108.823 eV for the cell shown. The symmetry is No. 11.

---

# 10
## GdNbOs4 (PBE-GGA)

Data for crystalline GdNbOs4 at its relaxed geometry.

a b c (Å): 5.2700 5.2700 5.2700
angles (deg): 60.00 60.00 60.00
Fractional positions:
1 Gd 0.0000 0.0000 0.0000
2 Nb 0.7500 0.7500 0.7500
3 Os 0.3749 0.3749 0.3749
4 Os 0.3749 0.3749 0.8754
5 Os 0.3749 0.8754 0.3749
6 Os 0.8754 0.3749 0.3749

Output
The calculation puts the energy of formation at -4.23 kJ/mol of atoms. The calculation puts the total energy at -69.333 eV for the cell shown. The symmetry is No. 216.

---

# 11
## MgBeZn2 (PBE-GGA)

Data for crystalline MgBeZn2 at its relaxed geometry.

a b c (Å): 2.8316 4.6861 8.8937
angles (deg): 90.00 90.00 90.00
Fractional positions:
1 Mg 0.0000 0.0000 0.0000
2 Mg 0.5000 0.5000 0.5000
3 Be 0.0000 0.0000 0.5000
4 Be 0.5000 0.5000 0.0000
5 Zn 0.0000 0.5000 0.2174
6 Zn 0.0000 0.5000 0.7826
7 Zn 0.5000 0.0000 0.2826
8 Zn 0.5000 0.0000 0.7174

Output
The calculation puts the energy of formation at 15.34 kJ/mol of atoms. The value obtained for the energy above the most stable polymorph in this dataset is 50 meV/atom. The calculation puts the total energy at -14.465 eV for the cell shown. The symmetry is No. 71.

---

# 12
## Pr8Sm2Hg (PBE-GGA)

Data for crystalline Pr8Sm2Hg at its relaxed geometry.

a b c (Å): 6.4112 6.4112 12.5557
angles (deg): 101.59 101.59 48.33
Fractional positions:
1 Pr 0.0314 0.0314 0.3296
2 Pr 0.1412 0.1412 0.9510
3 Pr 0.2578 0.2578 0.5865
4 Pr 0.4137 0.4137 0.8598
5 Pr 0.5863 0.5863 0.1402
6 Pr 0.7422 0.7422 0.4135
7 Pr 0.8588 0.8588 0.0490
8 Pr 0.9686 0.9686 0.6704
9 Sm 0.3120 0.3120 0.2439
10 Sm 0.6880 0.6880 0.7561
11 Hg 0.5000 0.5000 0.5000

Output
The calculation puts the energy of formation at -3.90 kJ/mol of atoms. The value obtained for the energy above the most stable polymorph in this dataset is 0 meV/atom. The calculation puts the total energy at -48.421 eV for the cell shown. The symmetry is No. 12.